Record 1
Dy3Y2Sc4, relaxed, DFT GGA-PBE; electronic total energy = -0.20846 Ha/atom; calculated formation energy = 112 meV per atom
1.0
5.463 1.471 1.053
2.008 10.589 0.630
2.008 4.008 9.822
Dy Y Sc
6 4 8
Direct
0.775 0.049 0.278
0.725 0.722 0.951
0.225 0.951 0.722
0.275 0.278 0.049
0.250 0.654 0.346
0.750 0.346 0.654
0.443 0.270 0.496
0.057 0.504 0.730
0.557 0.730 0.504
0.943 0.496 0.270
0.437 0.936 0.170
0.063 0.830 0.064
0.563 0.064 0.830
0.937 0.170 0.936
0.117 0.129 0.408
0.383 0.592 0.871
0.883 0.871 0.592
0.617 0.408 0.129

---

Record 2
Dy3Y8Sc2, relaxed, DFT GGA-PBE; electronic total energy = -0.21215 Ha/atom; ΔE to the lowest computed polymorph = 0.156 eV per formula unit; calculated formation energy = 241 meV per atom
1.0
0.089 0.930 5.518
-4.280 -6.267 1.126
10.243 -2.261 0.211
Dy Y Sc
3 8 2
Direct
0.500 0.000 0.000
0.000 0.287 0.000
0.000 0.713 0.000
0.001 0.678 0.355
0.999 0.322 0.645
0.000 0.134 0.269
0.000 0.866 0.731
0.500 0.598 0.777
0.500 0.179 0.777
0.500 0.821 0.223
0.500 0.402 0.223
0.499 0.241 0.481
0.501 0.759 0.519

---

Record 3
DyY8Sc2, relaxed, DFT GGA-PBE; electronic total energy = -0.22398 Ha/atom; ΔE to the lowest computed polymorph = 0.000 eV per formula unit; calculated formation energy = 176 meV per atom
1.0
5.561 1.537 0.000
2.482 8.530 0.000
1.241 4.265 7.891
Dy Y Sc
1 8 2
Direct
0.500 0.000 0.000
0.835 0.097 0.237
0.835 0.334 0.763
0.293 0.423 0.000
0.500 0.791 0.418
0.500 0.209 0.582
0.707 0.577 0.000
0.165 0.666 0.237
0.165 0.903 0.763
0.000 0.308 0.384
0.000 0.692 0.616

---

Record 4
DyYSc2, relaxed, DFT GGA-PBE; electronic total energy = -0.21678 Ha/atom; ΔE to the lowest computed polymorph = 0.000 eV per formula unit; calculated formation energy = 33 meV per atom
1.0
5.393 0.000 0.000
0.000 6.025 0.000
0.000 0.000 13.924
Dy Y Sc
4 4 8
Direct
0.250 0.591 0.685
0.750 0.409 0.315
0.250 0.091 0.815
0.750 0.909 0.185
0.250 0.591 0.938
0.750 0.409 0.062
0.250 0.091 0.562
0.750 0.909 0.438
0.250 0.577 0.191
0.750 0.423 0.809
0.250 0.077 0.309
0.750 0.923 0.691
0.250 0.578 0.435
0.750 0.422 0.565
0.250 0.078 0.065
0.750 0.922 0.935

---

Record 5
Dy2Y3Sc3, relaxed, DFT GGA-PBE; electronic total energy = -0.21661 Ha/atom; ΔE to the lowest computed polymorph = 0.000 eV per formula unit; calculated formation energy = 55 meV per atom
1.0
4.813 0.000 0.000
0.000 4.922 0.000
-2.407 -2.461 9.799
Dy Y Sc
2 3 3
Direct
0.749 0.249 0.497
0.251 0.751 0.503
0.622 0.622 0.245
0.378 0.378 0.755
0.500 0.000 0.000
0.124 0.124 0.248
0.000 0.500 0.000
0.876 0.876 0.752

---

Record 6
Dy12Y5Sc, relaxed, DFT GGA-PBE; electronic total energy = -0.19065 Ha/atom; calculated formation energy = 27 meV per atom
1.0
14.991 -0.006 -0.035
7.492 7.503 -0.017
0.012 0.000 4.997
Dy Y Sc
12 5 1
Direct
0.835 0.000 0.500
0.165 0.000 0.500
0.668 0.000 0.000
0.332 0.000 0.000
0.331 0.670 0.000
0.999 0.670 0.000
0.001 0.330 0.000
0.669 0.330 0.000
0.501 0.334 0.500
0.835 0.666 0.500
0.165 0.334 0.500
0.499 0.666 0.500
0.500 0.000 0.500
0.164 0.672 0.500
0.836 0.328 0.500
0.667 0.666 0.000
0.333 0.334 0.000
0.000 0.000 0.000

---

Record 7
Dy6Y16Sc7, relaxed, DFT GGA-PBE; electronic total energy = -0.21446 Ha/atom; calculated formation energy = 211 meV per atom
1.0
9.433 0.000 5.446
3.144 8.894 5.446
0.000 0.000 10.892
Dy Y Sc
6 16 7
Direct
0.289 0.711 0.289
0.711 0.289 0.711
0.711 0.289 0.289
0.289 0.711 0.711
0.711 0.711 0.289
0.289 0.289 0.711
0.881 0.881 0.357
0.881 0.881 0.881
0.881 0.357 0.881
0.357 0.881 0.881
0.119 0.119 0.119
0.119 0.119 0.643
0.119 0.643 0.119
0.643 0.119 0.119
0.655 0.655 0.035
0.655 0.655 0.655
0.655 0.035 0.655
0.035 0.655 0.655
0.345 0.345 0.345
0.345 0.345 0.965
0.345 0.965 0.345
0.965 0.345 0.345
0.000 0.000 0.000
0.500 0.000 0.500
0.000 0.500 0.000
0.000 0.500 0.500
0.500 0.000 0.000
0.000 0.000 0.500
0.500 0.500 0.000

---

Record 8
Dy3Y12Sc, relaxed, DFT GGA-PBE; electronic total energy = -0.22330 Ha/atom; calculated formation energy = 30 meV per atom
1.0
-1.231 2.183 -4.350
1.753 -3.987 -2.497
-18.135 -8.514 0.859
Dy Y Sc
3 12 1
Direct
0.000 0.000 0.248
0.000 0.000 0.500
0.000 0.000 0.752
0.500 0.500 0.000
0.500 0.500 0.247
0.500 0.500 0.500
0.500 0.500 0.753
0.500 0.000 0.121
0.500 0.000 0.374
0.500 0.000 0.626
0.500 0.000 0.879
0.000 0.500 0.121
0.000 0.500 0.374
0.000 0.500 0.626
0.000 0.500 0.879
0.000 0.000 0.000

---

Record 9
DyYSc4, relaxed, DFT GGA-PBE; electronic total energy = -0.22045 Ha/atom; ΔE to the lowest computed polymorph = 0.000 eV per formula unit; calculated formation energy = 67 meV per atom
1.0
5.311 0.000 0.000
-2.655 5.397 1.701
0.000 0.255 11.298
Dy Y Sc
2 2 8
Direct
0.500 0.500 0.000
0.000 0.500 0.500
0.250 0.000 0.250
0.750 0.000 0.750
0.959 0.417 0.208
0.542 0.583 0.292
0.041 0.583 0.792
0.458 0.417 0.708
0.292 0.083 0.542
0.208 0.917 0.958
0.708 0.917 0.458
0.792 0.083 0.042

---

Record 10
DyY8Sc2, relaxed, DFT GGA-PBE; electronic total energy = -0.22337 Ha/atom; ΔE to the lowest computed polymorph = 0.182 eV per formula unit; calculated formation energy = 192 meV per atom
1.0
6.105 0.514 1.729
1.012 7.554 5.292
0.414 2.040 9.042
Dy Y Sc
1 8 2
Direct
0.000 0.000 0.000
0.296 0.344 0.861
0.704 0.139 0.656
0.321 0.790 0.790
0.679 0.210 0.210
0.296 0.861 0.344
0.704 0.656 0.139
0.758 0.568 0.568
0.242 0.432 0.432
0.892 0.725 0.725
0.108 0.275 0.275

---

Record 11
Dy5YSc2, relaxed, DFT GGA-PBE; electronic total energy = -0.19250 Ha/atom; ΔE to the lowest computed polymorph = 0.000 eV per formula unit; calculated formation energy = 29 meV per atom
1.0
-5.065 -4.889 0.854
6.211 -0.723 3.346
-2.566 5.625 2.211
Dy Y Sc
5 1 2
Direct
0.237 0.319 0.500
0.318 0.738 0.000
0.818 0.238 0.000
0.737 0.819 0.500
0.321 0.234 0.000
0.821 0.735 0.000
0.236 0.821 0.501
0.735 0.320 0.499

---

Record 12
Dy2Y4Sc, relaxed, DFT GGA-PBE; electronic total energy = -0.21041 Ha/atom; ΔE to the lowest computed polymorph = 0.000 eV per formula unit; calculated formation energy = 188 meV per atom
1.0
8.591 -0.154 1.644
-0.773 8.572 -1.651
-2.671 -5.367 6.390
Dy Y Sc
4 8 2
Direct
0.654 0.258 0.603
0.596 0.699 0.104
0.625 0.347 0.222
0.125 0.420 0.795
0.894 0.145 0.278
0.387 0.688 0.337
0.864 0.700 0.802
0.799 0.027 0.730
0.286 0.019 0.223
0.357 0.134 0.752
0.450 0.680 0.727
0.964 0.688 0.233
0.101 0.695 0.600
0.148 0.249 0.094

---

Which value of calculated formation energy does entry 7 give? 211 meV per atom